The following is a GGA-PBE calculation of a geometry-optimized Mg2TcPt structure, from Alexandria via LeMat-Bulk.

The structure in extended XYZ format:
```
8
Lattice="3.974 0.000 0.000 0.000 3.996 0.000 0.000 0.000 8.088" Properties=species:S:1:pos:R:3 pbc="T T T"
Mg 0.000 0.000 1.911
Mg 0.000 0.000 6.177
Mg 1.987 1.998 1.911
Mg 1.987 1.998 6.177
Tc 0.000 1.998 4.044
Tc 1.987 0.000 4.044
Pt 0.000 1.998 0.000
Pt 1.987 0.000 0.000
```

Values from the calculation:
Fermi-level density of states (states/eV per cell): 6.97
Space-group type: Cmmm, No. 65
Polymorph energy (0 for the lowest one) (kcal/mol of atoms): 0.000
Raw total energy (eV/atom): -5.1289
M_tot (Bohr magnetons per cell): 0.2
Volume (Å³ per atom): 16.05
Theoretical density (g/cm3): 8.84
ΔH_f (0 K) (eV/atom): -0.23